a | # CoGeTe2I (GGA-PBE, relaxed)
# D(E_F): 7.3 states/eV per cell
# volume: 33.07 Å³/atom
data_CoGeTe2I
_space_group_name_H-M_alt 'P 4/m m m'
_space_group_IT_number 123
_space_group_name_Hall '-P 4 2'
_cell_length_a 5.4293
_cell_length_b 5.4293
_cell_length_c 5.6090
_cell_angle_alpha 90.00
_cell_angle_beta 90.00
_cell_angle_gamma 90.00
loop_
_atom_site_label
_atom_site_type_symbol
_atom_site_fract_x
_atom_site_fract_y
_atom_site_fract_z
Co1 Co 0.0000 0.0000 0.0000
Ge1 Ge 0.5000 0.5000 0.5000
Te1 Te 0.0000 0.5000 0.5000
I1 I 0.5000 0.5000 0.0000

b | # CoGeTe2I (GGA-PBE, relaxed)
# D(E_F): 6.0 states/eV per cell
# volume: 26.72 Å³/atom
data_CoGeTe2I
_space_group_name_H-M_alt 'P 4/m m m'
_space_group_IT_number 123
_space_group_name_Hall '-P 4 2'
_cell_length_a 5.0031
_cell_length_b 5.0031
_cell_length_c 5.3371
_cell_angle_alpha 90.00
_cell_angle_beta 90.00
_cell_angle_gamma 90.00
loop_
_atom_site_label
_atom_site_type_symbol
_atom_site_fract_x
_atom_site_fract_y
_atom_site_fract_z
Co1 Co 0.0000 0.0000 0.0000
Ge1 Ge 0.5000 0.5000 0.5000
Te1 Te 0.0000 0.5000 0.0000
I1 I 0.0000 0.0000 0.5000

Stability ranking, top entry: b; the second entry is 48.6 kJ/mol of atoms less favorable.

a | # CoGeTeI2 (GGA-PBE, relaxed)
# D(E_F): 5.1 states/eV per cell
# volume: 27.68 Å³/atom
data_CoGeTeI2
_space_group_name_H-M_alt 'P 4/m m m'
_space_group_IT_number 123
_space_group_name_Hall '-P 4 2'
_cell_length_a 5.2346
_cell_length_b 5.2346
_cell_length_c 5.0511
_cell_angle_alpha 90.00
_cell_angle_beta 90.00
_cell_angle_gamma 90.00
loop_
_atom_site_label
_atom_site_type_symbol
_atom_site_fract_x
_atom_site_fract_y
_atom_site_fract_z
Co1 Co 0.0000 0.0000 0.0000
Ge1 Ge 0.5000 0.5000 0.5000
Te1 Te 0.0000 0.0000 0.5000
I1 I 0.0000 0.5000 0.0000

b | # CoGeTeI2 (GGA-PBE, relaxed)
# D(E_F): 12.4 states/eV per cell
# volume: 35.51 Å³/atom
data_CoGeTeI2
_space_group_name_H-M_alt 'P 4/m m m'
_space_group_IT_number 123
_space_group_name_Hall '-P 4 2'
_cell_length_a 5.6484
_cell_length_b 5.6484
_cell_length_c 5.5655
_cell_angle_alpha 90.00
_cell_angle_beta 90.00
_cell_angle_gamma 90.00
loop_
_atom_site_label
_atom_site_type_symbol
_atom_site_fract_x
_atom_site_fract_y
_atom_site_fract_z
Co1 Co 0.0000 0.0000 0.0000
Ge1 Ge 0.5000 0.5000 0.5000
Te1 Te 0.5000 0.5000 0.0000
I1 I 0.0000 0.5000 0.5000

Stability ranking, top entry: a; the second entry is 38.1 kJ/mol of atoms less favorable.

a | # In3CoGe (GGA-PBE, relaxed)
# D(E_F): 6.9 states/eV per cell
# volume: 30.01 Å³/atom
data_In3CoGe
_space_group_name_H-M_alt 'P m -3 m'
_space_group_IT_number 221
_space_group_name_Hall '-P 4 2 3'
_cell_length_a 5.3139
_cell_length_b 5.3139
_cell_length_c 5.3139
_cell_angle_alpha 90.00
_cell_angle_beta 90.00
_cell_angle_gamma 90.00
loop_
_atom_site_label
_atom_site_type_symbol
_atom_site_fract_x
_atom_site_fract_y
_atom_site_fract_z
In1 In 0.0000 0.0000 0.5000
Co1 Co 0.5000 0.5000 0.5000
Ge1 Ge 0.0000 0.0000 0.0000

b | # In3CoGe (GGA-PBE, relaxed)
# D(E_F): 4.5 states/eV per cell
# volume: 23.86 Å³/atom
data_In3CoGe
_space_group_name_H-M_alt 'P m -3 m'
_space_group_IT_number 221
_space_group_name_Hall '-P 4 2 3'
_cell_length_a 4.9226
_cell_length_b 4.9226
_cell_length_c 4.9226
_cell_angle_alpha 90.00
_cell_angle_beta 90.00
_cell_angle_gamma 90.00
loop_
_atom_site_label
_atom_site_type_symbol
_atom_site_fract_x
_atom_site_fract_y
_atom_site_fract_z
In1 In 0.0000 0.0000 0.5000
Co1 Co 0.0000 0.0000 0.0000
Ge1 Ge 0.5000 0.5000 0.5000

Stability ranking, top entry: b; the second entry is 65.8 kJ/mol of atoms less favorable.

a | # In2CoGeTe (GGA-PBE, relaxed)
# D(E_F): 3.6 states/eV per cell
# volume: 26.74 Å³/atom
data_In2CoGeTe
_space_group_name_H-M_alt 'P 4/m m m'
_space_group_IT_number 123
_space_group_name_Hall '-P 4 2'
_cell_length_a 5.4191
_cell_length_b 5.4191
_cell_length_c 4.5529
_cell_angle_alpha 90.00
_cell_angle_beta 90.00
_cell_angle_gamma 90.00
loop_
_atom_site_label
_atom_site_type_symbol
_atom_site_fract_x
_atom_site_fract_y
_atom_site_fract_z
In1 In 0.0000 0.5000 0.0000
Co1 Co 0.0000 0.0000 0.5000
Ge1 Ge 0.0000 0.0000 0.0000
Te1 Te 0.5000 0.5000 0.5000

b | # In2CoGeTe (GGA-PBE, relaxed)
# D(E_F): 3.8 states/eV per cell
# volume: 23.54 Å³/atom
data_In2CoGeTe
_space_group_name_H-M_alt 'P 4/m m m'
_space_group_IT_number 123
_space_group_name_Hall '-P 4 2'
_cell_length_a 5.1284
_cell_length_b 5.1284
_cell_length_c 4.4760
_cell_angle_alpha 90.00
_cell_angle_beta 90.00
_cell_angle_gamma 90.00
loop_
_atom_site_label
_atom_site_type_symbol
_atom_site_fract_x
_atom_site_fract_y
_atom_site_fract_z
In1 In 0.0000 0.5000 0.0000
Co1 Co 0.0000 0.0000 0.0000
Ge1 Ge 0.0000 0.0000 0.5000
Te1 Te 0.5000 0.5000 0.5000

Stability ranking, top entry: b; the second entry is 41.0 kJ/mol of atoms less favorable.

a | # Co3Ge6Ir (GGA-PBE, relaxed)
# D(E_F): 4.6 states/eV per cell
# volume: 15.15 Å³/atom
data_Co3Ge6Ir
_space_group_name_H-M_alt 'P 1 21/m 1'
_space_group_IT_number 11
_space_group_name_Hall '-P 2yb'
_cell_length_a 9.1110
_cell_length_b 3.7192
_cell_length_c 9.9668
_cell_angle_alpha 90.00
_cell_angle_beta 116.21
_cell_angle_gamma 90.00
loop_
_atom_site_label
_atom_site_type_symbol
_atom_site_fract_x
_atom_site_fract_y
_atom_site_fract_z
Co1 Co 0.0591 0.2500 0.1397
Co2 Co 0.2186 0.7500 0.5492
Co3 Co 0.3893 0.2500 0.9767
Ge1 Ge 0.0355 0.2500 0.4067
Ge2 Ge 0.1223 0.2500 0.9365
Ge3 Ge 0.2041 0.7500 0.2994
Ge4 Ge 0.2956 0.7500 0.8076
Ge5 Ge 0.3909 0.2500 0.5429
Ge6 Ge 0.4275 0.7500 0.1324
Ir1 Ir 0.4066 0.2500 0.2921

b | # Co3Ge6Ir (GGA-PBE, relaxed)
# D(E_F): 6.6 states/eV per cell
# volume: 15.26 Å³/atom
data_Co3Ge6Ir
_space_group_name_H-M_alt 'P 1 21/c 1'
_space_group_IT_number 14
_space_group_name_Hall '-P 2ybc'
_cell_length_a 6.4514
_cell_length_b 5.9405
_cell_length_c 10.0669
_cell_angle_alpha 90.00
_cell_angle_beta 127.72
_cell_angle_gamma 90.00
loop_
_atom_site_label
_atom_site_type_symbol
_atom_site_fract_x
_atom_site_fract_y
_atom_site_fract_z
Co1 Co 0.0000 0.0000 0.0000
Co2 Co 0.2639 0.1703 0.7436
Ge1 Ge 0.0493 0.5111 0.7436
Ge2 Ge 0.2101 0.6502 0.0706
Ge3 Ge 0.4127 0.1309 0.0766
Ir1 Ir 0.5000 0.0000 0.5000

Stability ranking, top entry: a; the second entry is 1.1 kJ/mol of atoms less favorable.

a | # CoGeIr3 (GGA-PBE, relaxed)
# D(E_F): 7.5 states/eV per cell
# volume: 18.51 Å³/atom
data_CoGeIr3
_space_group_name_H-M_alt 'P m -3 m'
_space_group_IT_number 221
_space_group_name_Hall '-P 4 2 3'
_cell_length_a 4.5235
_cell_length_b 4.5235
_cell_length_c 4.5235
_cell_angle_alpha 90.00
_cell_angle_beta 90.00
_cell_angle_gamma 90.00
loop_
_atom_site_label
_atom_site_type_symbol
_atom_site_fract_x
_atom_site_fract_y
_atom_site_fract_z
Co1 Co 0.0000 0.0000 0.0000
Ge1 Ge 0.5000 0.5000 0.5000
Ir1 Ir 0.0000 0.5000 0.5000

b | # CoGeIr3 (GGA-PBE, relaxed)
# D(E_F): 4.9 states/eV per cell
# volume: 17.96 Å³/atom
data_CoGeIr3
_space_group_name_H-M_alt 'P m -3 m'
_space_group_IT_number 221
_space_group_name_Hall '-P 4 2 3'
_cell_length_a 4.4782
_cell_length_b 4.4782
_cell_length_c 4.4782
_cell_angle_alpha 90.00
_cell_angle_beta 90.00
_cell_angle_gamma 90.00
loop_
_atom_site_label
_atom_site_type_symbol
_atom_site_fract_x
_atom_site_fract_y
_atom_site_fract_z
Co1 Co 0.0000 0.0000 0.0000
Ge1 Ge 0.5000 0.5000 0.5000
Ir1 Ir 0.0000 0.0000 0.5000

Stability ranking, top entry: b; the second entry is 5.5 kJ/mol of atoms less favorable.

a | # CoGe3Ir (GGA-PBE, relaxed)
# D(E_F): 21.2 states/eV per cell
# volume: 15.77 Å³/atom
data_CoGe3Ir
_space_group_name_H-M_alt 'C 1 2/c 1'
_space_group_IT_number 15
_space_group_name_Hall '-C 2yc'
_cell_length_a 11.6344
_cell_length_b 11.6817
_cell_length_c 4.7085
_cell_angle_alpha 90.00
_cell_angle_beta 99.62
_cell_angle_gamma 90.00
loop_
_atom_site_label
_atom_site_type_symbol
_atom_site_fract_x
_atom_site_fract_y
_atom_site_fract_z
Co1 Co 0.0000 0.0774 0.2500
Co2 Co 0.0000 0.2403 0.7500
Ge1 Ge 0.0786 0.3916 0.5217
Ge2 Ge 0.1338 0.0796 0.6724
Ge3 Ge 0.1596 0.1969 0.1506
Ir1 Ir 0.1626 0.4066 0.0654

b | # CoGe3Ir (GGA-PBE, relaxed)
# D(E_F): 1.0 states/eV per cell
# volume: 17.38 Å³/atom
data_CoGe3Ir
_space_group_name_H-M_alt 'P m -3 m'
_space_group_IT_number 221
_space_group_name_Hall '-P 4 2 3'
_cell_length_a 4.4292
_cell_length_b 4.4292
_cell_length_c 4.4292
_cell_angle_alpha 90.00
_cell_angle_beta 90.00
_cell_angle_gamma 90.00
loop_
_atom_site_label
_atom_site_type_symbol
_atom_site_fract_x
_atom_site_fract_y
_atom_site_fract_z
Co1 Co 0.0000 0.0000 0.0000
Ge1 Ge 0.0000 0.0000 0.5000
Ir1 Ir 0.5000 0.5000 0.5000

Stability ranking, top entry: a; the second entry is 62.1 kJ/mol of atoms less favorable.

a | # CoGe4Ir2 (GGA-PBE, relaxed)
# D(E_F): 15.6 states/eV per cell
# volume: 16.24 Å³/atom
data_CoGe4Ir2
_space_group_name_H-M_alt 'P n m a'
_space_group_IT_number 62
_space_group_name_Hall '-P 2ac 2n'
_cell_length_a 12.8106
_cell_length_b 2.8873
_cell_length_c 12.2947
_cell_angle_alpha 90.00
_cell_angle_beta 90.00
_cell_angle_gamma 90.00
loop_
_atom_site_label
_atom_site_type_symbol
_atom_site_fract_x
_atom_site_fract_y
_atom_site_fract_z
Co1 Co 0.1191 0.2500 0.0901
Ge1 Ge 0.0342 0.2500 0.9001
Ge2 Ge 0.0349 0.7500 0.6146
Ge3 Ge 0.1903 0.7500 0.2310
Ge4 Ge 0.2241 0.7500 0.9770
Ir1 Ir 0.1234 0.7500 0.4231
Ir2 Ir 0.1503 0.7500 0.7777

b | # CoGe4Ir2 (GGA-PBE, relaxed)
# D(E_F): 6.3 states/eV per cell
# volume: 16.78 Å³/atom
data_CoGe4Ir2
_space_group_name_H-M_alt 'C 1 2/m 1'
_space_group_IT_number 12
_space_group_name_Hall '-C 2y'
_cell_length_a 11.8587
_cell_length_b 3.5576
_cell_length_c 6.1551
_cell_angle_alpha 90.00
_cell_angle_beta 115.21
_cell_angle_gamma 90.00
loop_
_atom_site_label
_atom_site_type_symbol
_atom_site_fract_x
_atom_site_fract_y
_atom_site_fract_z
Co1 Co 0.0000 0.0000 0.0000
Ge1 Ge 0.0884 0.5000 0.2782
Ge2 Ge 0.1508 0.0000 0.8422
Ir1 Ir 0.2464 0.5000 0.6933

Stability ranking, top entry: b; the second entry is 13.3 kJ/mol of atoms less favorable.

a | # KCo3Ge (GGA-PBE, relaxed)
# D(E_F): 12.7 states/eV per cell
# volume: 17.98 Å³/atom
data_KCo3Ge
_space_group_name_H-M_alt 'P m -3 m'
_space_group_IT_number 221
_space_group_name_Hall '-P 4 2 3'
_cell_length_a 4.4800
_cell_length_b 4.4800
_cell_length_c 4.4800
_cell_angle_alpha 90.00
_cell_angle_beta 90.00
_cell_angle_gamma 90.00
loop_
_atom_site_label
_atom_site_type_symbol
_atom_site_fract_x
_atom_site_fract_y
_atom_site_fract_z
K1 K 0.0000 0.0000 0.0000
Co1 Co 0.0000 0.0000 0.5000
Ge1 Ge 0.5000 0.5000 0.5000

b | # KCo3Ge (GGA-PBE, relaxed)
# D(E_F): 7.3 states/eV per cell
# volume: 19.61 Å³/atom
data_KCo3Ge
_space_group_name_H-M_alt 'P m -3 m'
_space_group_IT_number 221
_space_group_name_Hall '-P 4 2 3'
_cell_length_a 4.6111
_cell_length_b 4.6111
_cell_length_c 4.6111
_cell_angle_alpha 90.00
_cell_angle_beta 90.00
_cell_angle_gamma 90.00
loop_
_atom_site_label
_atom_site_type_symbol
_atom_site_fract_x
_atom_site_fract_y
_atom_site_fract_z
K1 K 0.0000 0.0000 0.0000
Co1 Co 0.0000 0.5000 0.5000
Ge1 Ge 0.5000 0.5000 0.5000

Stability ranking, top entry: b; the second entry is 144.2 kJ/mol of atoms less favorable.

a | # LaCo3Ge3 (GGA-PBE, relaxed)
# D(E_F): 47.8 states/eV per cell
# volume: 17.94 Å³/atom
data_LaCo3Ge3
_space_group_name_H-M_alt 'R -3'
_space_group_IT_number 148
_space_group_name_Hall '-R 3'
_cell_length_a 6.2929
_cell_length_b 6.2929
_cell_length_c 21.9707
_cell_angle_alpha 90.00
_cell_angle_beta 90.00
_cell_angle_gamma 120.00
loop_
_atom_site_label
_atom_site_type_symbol
_atom_site_fract_x
_atom_site_fract_y
_atom_site_fract_z
La1 La 0.0000 0.0000 0.1780
Co1 Co 0.0176 0.2476 0.7027
Ge1 Ge 0.0288 0.4283 0.2625

b | # LaCo3Ge3 (GGA-PBE, relaxed)
# D(E_F): 16.5 states/eV per cell
# volume: 18.88 Å³/atom
data_LaCo3Ge3
_space_group_name_H-M_alt 'P m -3 n'
_space_group_IT_number 223
_space_group_name_Hall '-P 4n 2 3'
_cell_length_a 6.4180
_cell_length_b 6.4180
_cell_length_c 6.4180
_cell_angle_alpha 90.00
_cell_angle_beta 90.00
_cell_angle_gamma 90.00
loop_
_atom_site_label
_atom_site_type_symbol
_atom_site_fract_x
_atom_site_fract_y
_atom_site_fract_z
La1 La 0.0000 0.0000 0.0000
Co1 Co 0.0000 0.2500 0.5000
Ge1 Ge 0.0000 0.5000 0.2500

Stability ranking, top entry: a; the second entry is 6.5 kJ/mol of atoms less favorable.

a | # La4CoGe2 (GGA-PBE, relaxed)
# D(E_F): 11.4 states/eV per cell
# volume: 29.44 Å³/atom
data_La4CoGe2
_space_group_name_H-M_alt 'I 4/m m m'
_space_group_IT_number 139
_space_group_name_Hall '-I 4 2'
_cell_length_a 4.9719
_cell_length_b 4.9719
_cell_length_c 16.6743
_cell_angle_alpha 90.00
_cell_angle_beta 90.00
_cell_angle_gamma 90.00
loop_
_atom_site_label
_atom_site_type_symbol
_atom_site_fract_x
_atom_site_fract_y
_atom_site_fract_z
La1 La 0.0000 0.0000 0.1814
La2 La 0.0000 0.5000 0.0000
Co1 Co 0.0000 0.0000 0.0000
Ge1 Ge 0.0000 0.0000 0.3632

b | # La4CoGe2 (GGA-PBE, relaxed)
# D(E_F): 8.2 states/eV per cell
# volume: 27.28 Å³/atom
data_La4CoGe2
_space_group_name_H-M_alt 'P 1 21/m 1'
_space_group_IT_number 11
_space_group_name_Hall '-P 2yb'
_cell_length_a 6.5194
_cell_length_b 6.7840
_cell_length_c 8.7635
_cell_angle_alpha 90.00
_cell_angle_beta 99.76
_cell_angle_gamma 90.00
loop_
_atom_site_label
_atom_site_type_symbol
_atom_site_fract_x
_atom_site_fract_y
_atom_site_fract_z
La1 La 0.1628 0.0003 0.2820
La2 La 0.3294 0.2500 0.6472
La3 La 0.3305 0.7500 0.9351
Co1 Co 0.0252 0.7500 0.5884
Ge1 Ge 0.1779 0.2500 0.9639
Ge2 Ge 0.3899 0.7500 0.6001

Stability ranking, top entry: b; the second entry is 6.7 kJ/mol of atoms less favorable.